# LiAg2Te PBE relaxed
# Fermi-level density of states = 3.6 states/eV/cell
# total moment = 0.00 Bohr magnetons per cell
# formation energy without anion corrections = -172 meV per atom
# mass density = 6.73 g cm⁻³
# volume = 86 Å³/f.u.
data_LiAg2Te
_cell_length_a 4.131
_cell_length_b 4.131
_cell_length_c 20.267
_cell_angle_alpha 90.00
_cell_angle_beta 90.00
_cell_angle_gamma 90.00
_symmetry_space_group_name_H-M 'I -4 2 d'
_symmetry_Int_Tables_number 122
_symmetry_space_group_name_Hall 'I -4 2bw'
loop_
_atom_site_label
_atom_site_type_symbol
_atom_site_fract_x
_atom_site_fract_y
_atom_site_fract_z
Li1 Li 0.000 0.000 0.000
Ag1 Ag 0.250 0.250 0.125
Te1 Te 0.000 0.000 0.500